No. 1
Here is a relaxed structure of BaMg2Ta from the Alexandria database. Energies are from PBE.

Cell lengths 11.7461, 11.7461, 11.7461 Å; angles 15.64, 15.64, 15.64 degrees
Fractional coordinates of all 4 atoms:
Ta  0.5092  0.5092  0.5092
Ba  0.7542  0.7542  0.7542
Mg  0.2456  0.2456  0.2456
Mg  0.9910  0.9910  0.9910

Output
total energy = -14.5 eV for the cell shown
distance to the lowest polymorph of the same formula = 77 kJ/mol of formula units
DFT formation energy = 0.6147 eV per atom

No. 2
Here is a relaxed structure of BaMgTa2 from the Alexandria database. Energies are from PBE.

Cell lengths 6.5730, 6.5730, 6.5730 Å; angles 152.02, 126.69, 61.27 degrees
Fractional coordinates of all 4 atoms:
Ta  0.0248  0.0248  0.0000
Ta  0.2081  0.7081  0.5000
Mg  0.7800  0.2800  0.5000
Ba  0.4870  0.4870  0.0000

Output
total energy = -23.6 eV for the cell shown
DFT formation energy = 0.9030 eV per atom

No. 3
Here is a relaxed structure of BaMgTa2 from the Alexandria database. Energies are from PBE.

Cell lengths 10.8277, 10.8277, 10.8277 Å; angles 17.64, 17.64, 17.64 degrees
Last column: magnetic moment on the atom in μB.
Fractional coordinates of all 4 atoms:
Ba  0.5040  0.5040  0.5040  0.01
Ta  0.2669  0.2669  0.2669  0.10
Ta  0.9934  0.9934  0.9934  0.10
Mg  0.7356  0.7356  0.7356  0.00

Output
total energy = -24.5 eV for the cell shown
DFT formation energy = 0.6774 eV per atom

No. 4
Here is a relaxed structure of Ba2MgTa2 from the Alexandria database. Energies are from PBE.

Cell lengths 10.1388, 10.1388, 3.2032 Å; angles 90.00, 90.00, 90.00 degrees
Fractional coordinates of all 10 atoms:
Ta  0.0860  0.5860  0.5000
Ta  0.5860  0.9140  0.5000
Mg  0.0000  0.0000  0.0000
Ba  0.7965  0.7035  0.0000
Ba  0.7035  0.2035  0.0000
Ba  0.2035  0.2965  0.0000
Ta  0.9140  0.4140  0.5000
Mg  0.5000  0.5000  0.0000
Ba  0.2965  0.7965  0.0000
Ta  0.4140  0.0860  0.5000

Output
total energy = -47.2 eV for the cell shown
distance to the lowest polymorph of the same formula = 203 kJ/mol of formula units
DFT formation energy = 1.1121 eV per atom

No. 5
Here is a relaxed structure of BaMg2Ta from the Alexandria database. Energies are from PBE.

Cell lengths 5.8269, 5.8269, 3.1073 Å; angles 90.00, 90.00, 110.43 degrees
Fractional coordinates of all 4 atoms:
Mg  0.5000  0.5000  0.0000
Ta  0.5000  0.0000  0.5000
Mg  0.0000  0.0000  0.0000
Ba  0.0000  0.5000  0.5000

Output
total energy = -14.3 eV for the cell shown
distance to the lowest polymorph of the same formula = 98 kJ/mol of formula units
DFT formation energy = 0.6688 eV per atom

No. 6
Here is a relaxed structure of BaMg2Ta from the Alexandria database. Energies are from PBE.

Cell lengths 5.8818, 5.8818, 5.8818 Å; angles 132.95, 132.95, 68.74 degrees
Last column: magnetic moment on the atom in μB.
Fractional coordinates of all 4 atoms:
Mg  0.0000  0.0000  0.0000  -0.01
Ba  0.7500  0.2500  0.5000  0.04
Ta  0.5000  0.5000  0.0000  0.65
Mg  0.2500  0.7500  0.5000  0.00

Output
total energy = -13.5 eV for the cell shown
distance to the lowest polymorph of the same formula = 171 kJ/mol of formula units
DFT formation energy = 0.8563 eV per atom

No. 7
Here is a relaxed structure of BaMgTa2 from the Alexandria database. Energies are from PBE.

Cell lengths 3.0842, 3.0842, 10.8368 Å; angles 90.00, 90.00, 109.35 degrees
Fractional coordinates of all 4 atoms:
Ta  0.5000  0.5000  0.2037
Mg  0.5000  0.5000  0.7911
Ta  0.0000  0.0000  0.0151
Ba  0.0000  0.0000  0.4901

Output
total energy = -25.0 eV for the cell shown
DFT formation energy = 0.5580 eV per atom

No. 8
Here is a relaxed structure of BaMg2Ta from the Alexandria database. Energies are from PBE.

Cell lengths 3.2579, 5.4757, 5.7694 Å; angles 90.00, 90.00, 90.00 degrees
Fractional coordinates of all 4 atoms:
Ta  0.5000  0.0000  0.5000
Mg  0.5000  0.5000  0.0000
Ba  0.0000  0.5000  0.5000
Mg  0.0000  0.0000  0.0000

Output
total energy = -13.7 eV for the cell shown
distance to the lowest polymorph of the same formula = 153 kJ/mol of formula units
DFT formation energy = 0.8108 eV per atom